1.
VASP calculation (PBE-GGA) on a relaxed structure of LiTb5S6.

Cell: 6.7705 6.7580 6.7574 Å, 60.00 80.41 70.54°
Sites, in units of the cell vectors:
S1 0.2459 0.5927 0.3259
S2 0.2426 0.2425 0.0000
S3 0.7541 0.4073 0.6741
S4 0.2459 0.9186 0.6741
S5 0.7574 0.7575 0.0000
S6 0.7541 0.0814 0.3259
Tb1 0.5000 0.1657 0.6686
Tb2 0.0000 0.3345 0.3309
Tb3 0.5000 0.8343 0.3314
Tb4 0.0000 0.6655 0.6691
Tb5 0.5000 0.5000 0.0000
Li1 0.0000 0.0000 0.0000

Size of the total moment ... 0.0 μB per cell
Uncorrected formation energy ... -1.972 eV per atom
Space-group type ... C2/m (12)
Volume ... 252.46 Å³/f.u.


2.
VASP calculation (PBE-GGA) on a relaxed structure of LiTb3S4.

Cell: 3.8988 6.7530 6.7530 Å, 109.41 90.00 90.00°
Sites, in units of the cell vectors:
S1 0.5000 0.7546 0.2454
S2 0.0000 0.2446 0.2446
S3 0.0000 0.7554 0.7554
S4 0.5000 0.2454 0.7546
Tb1 0.0000 0.0000 0.5000
Tb2 0.5000 0.5000 0.5000
Tb3 0.0000 0.5000 0.0000
Li1 0.5000 0.0000 0.0000

Size of the total moment ... 0.0 μB per cell
Uncorrected formation energy ... -1.943 eV per atom
Space-group type ... Cmmm (65)
Offset from the most stable computed form ... 0.024 eV/atom
Volume ... 167.70 Å³/f.u.


3.
VASP calculation (PBE-GGA) on a relaxed structure of Li3Tb2S4.

Cell: 3.8854 3.8854 14.9318 Å, 90.03 89.97 120.00°
Sites, in units of the cell vectors:
Li1 0.3338 0.6662 0.6140
Li2 0.6662 0.3338 0.3860
Li3 0.0000 0.0000 0.0000
S1 0.3336 0.6664 0.8982
S2 0.0005 0.9995 0.6808
S3 0.6664 0.3336 0.1018
S4 0.9995 0.0005 0.3192
Tb1 0.6670 0.3330 0.7947
Tb2 0.3330 0.6670 0.2053

Size of the total moment ... 0.5 μB per cell
Uncorrected formation energy ... -1.623 eV per atom
Space-group type ... C2/m (12)
Volume ... 195.21 Å³/f.u.


no.,electronic total energy (eV/atom)
1,-6.125
2,-5.982
3,-5.124